(1)
Entry from the Open Quantum Materials Database: a geometry-optimized HfAlPd2 structure (GGA-PBE).

Geometry as POSCAR:
```
HfAlPd2
1.0
0.000 3.200 3.200
3.200 0.000 3.200
3.200 3.200 0.000
Hf Al Pd
1 1 2
Cartesian
0.000 0.000 0.000 Hf
4.799 4.799 4.799 Al
1.600 1.600 1.600 Pd
3.200 3.200 3.200 Pd
```

Results
calculated density	10.604	Mg/m³
raw total energy	-6.55	eV/atom


(2)
Entry from the Open Quantum Materials Database: a geometry-optimized Nd3Mg3InIr2 structure (GGA-PBE).

Geometry as POSCAR:
```
Nd3Mg3InIr2
1.0
7.548 0.000 0.000
-3.774 6.537 0.000
0.000 0.000 4.296
Nd Mg In Ir
3 3 1 2
Cartesian
-2.162 3.745 0.000 Nd
1.612 2.792 0.000 Nd
4.325 0.000 0.000 Nd
-0.973 1.685 2.148 Mg
1.945 0.000 2.148 Mg
2.802 4.852 2.148 Mg
0.000 0.000 0.000 In
0.000 4.358 2.148 Ir
3.774 2.179 2.148 Ir
```

Results
calculated density	7.872	Mg/m³
raw total energy	-4.84	eV/atom


(3)
Entry from the Open Quantum Materials Database: a geometry-optimized Dy3Al structure (GGA-PBE).

Geometry as POSCAR:
```
Dy3Al
1.0
0.000 3.776 3.776
3.776 0.000 3.776
3.776 3.776 0.000
Dy Al
3 1
Cartesian
0.000 0.000 0.000 Dy
1.888 1.888 1.888 Dy
5.664 5.664 5.664 Dy
3.776 3.776 3.776 Al
```

Results
calculated density	7.935	Mg/m³
raw total energy	-4.43	eV/atom


Q: Number 3 is which compound?
A: Dy3Al